Computed, not measured: a geometry-optimized CrTe2Rh structure at the PBE-GGA level of DFT.

```
CrTe2Rh
1.0
4.391 0.000 0.000
0.000 4.869 0.000
-1.288 0.000 4.206
Cr Te Rh
1 2 1
direct
0.000 0.000 0.000
0.382 0.000 0.618
0.829 0.500 0.169
0.209 0.500 0.789
```

## Properties
**Relative energy among the computed polymorphs**: 0.050 eV/atom
**Symmetry**: No. 6
**Energy relative to the elements, uncorrected**: -0.0899 eV/atom

Computed, not measured: a geometry-optimized Ga2GeSb structure at the PBE-GGA level of DFT.

```
Ga2GeSb
1.0
0.000 3.489 3.489
3.489 0.000 3.489
3.489 3.489 0.000
Ga Ge Sb
2 1 1
direct
0.250 0.250 0.250
0.750 0.750 0.750
0.000 0.000 0.000
0.500 0.500 0.500
```

## Properties
**Relative energy among the computed polymorphs**: 0.189 eV/atom
**Symmetry**: No. 225
**Energy relative to the elements, uncorrected**: 0.1849 eV/atom

Computed, not measured: a geometry-optimized Y3CoN structure at the PBE-GGA level of DFT.

```
Y3CoN
1.0
4.714 0.000 0.000
0.000 4.714 0.000
0.000 0.000 4.714
Y Co N
3 1 1
direct
0.000 0.000 0.500
0.000 0.500 0.000
0.500 0.000 0.000
0.500 0.500 0.500
0.000 0.000 0.000
```

## Properties
**Symmetry**: No. 221
**Energy relative to the elements, uncorrected**: -0.4885 eV/atom

Computed, not measured: a geometry-optimized Sm2PuTc2 structure at the PBE-GGA level of DFT.

```
Sm2PuTc2
1.0
4.973 -2.992 0.000
4.973 2.992 0.000
-1.340 0.000 7.873
Sm Pu Tc
4 2 4
direct
0.026 0.279 0.153
0.279 0.026 0.653
0.721 0.974 0.347
0.974 0.721 0.847
0.368 0.632 0.250
0.632 0.368 0.750
0.248 0.503 0.488
0.497 0.752 0.012
0.503 0.248 0.988
0.752 0.497 0.512
```

## Properties
**Symmetry**: No. 15
**E**: -8.965 eV per atom